# 1
VASP calculation (PBE) on an optimized crystal structure of CoSbTe2I.

The structure in CIF format:
```
data_CoSbTe2I
_chemical_formula_sum 'Co1 Sb1 Te2 I1'
_symmetry_space_group_name_H-M 'P 4/m m m'
_symmetry_Int_Tables_number 123
_symmetry_space_group_name_Hall '-P 4 2'
_cell_length_a 5.050
_cell_length_b 5.050
_cell_length_c 5.222
_cell_angle_alpha 90.00
_cell_angle_beta 90.00
_cell_angle_gamma 90.00
loop_
_atom_site_label
_atom_site_type_symbol
_atom_site_fract_x
_atom_site_fract_y
_atom_site_fract_z
Co1 Co 0.000 0.000 0.000
Sb1 Sb 0.500 0.500 0.500
Te1 Te 0.000 0.500 0.000
I1 I 0.000 0.000 0.500
```

Values from the calculation:
Offset from the most stable computed form, eV per atom: 0.018
Formation energy (no corrections), eV/atom: 0.360
E_tot, eV per atom: -3.453



# 2
VASP calculation (PBE) on an optimized crystal structure of PrCdF5.

The structure in CIF format:
```
data_PrCdF5
_chemical_formula_sum 'Pr4 Cd4 F20'
_symmetry_space_group_name_H-M 'C 1 2/c 1'
_symmetry_Int_Tables_number 15
_cell_length_a 9.764
_cell_length_b 7.294
_cell_length_c 8.113
_cell_angle_alpha 90.00
_cell_angle_beta 114.27
_cell_angle_gamma 90.00
loop_
_symmetry_equiv_pos_as_xyz
'x,y,z'
'-x,-y,-z'
'-x,y,-z+1/2'
'x,-y,z+1/2'
'x+1/2,y+1/2,z'
'-x+1/2,-y+1/2,-z'
'-x+1/2,y+1/2,-z+1/2'
'x+1/2,-y+1/2,z+1/2'
loop_
_atom_site_label
_atom_site_type_symbol
_atom_site_fract_x
_atom_site_fract_y
_atom_site_fract_z
Pr1 Pr 0.000 0.048 0.250
Cd1 Cd 0.000 0.500 0.000
F1 F 0.000 0.372 0.250
F2 F 0.005 0.179 0.965
F3 F 0.246 0.481 0.627
```

Values from the calculation:
Formation energy (no corrections), eV/atom: -3.224
E_tot, eV per atom: -5.374



# 3
VASP calculation (PBE) on an optimized crystal structure of ZnCoCuMo.

The structure in CIF format:
```
data_ZnCoCuMo
_chemical_formula_sum 'Zn4 Co4 Cu4 Mo4'
_symmetry_space_group_name_H-M 'F -4 3 m'
_symmetry_Int_Tables_number 216
_symmetry_space_group_name_Hall 'F -4 2 3'
_cell_length_a 5.917
_cell_length_b 5.917
_cell_length_c 5.917
_cell_angle_alpha 90.00
_cell_angle_beta 90.00
_cell_angle_gamma 90.00
loop_
_atom_site_label
_atom_site_type_symbol
_atom_site_fract_x
_atom_site_fract_y
_atom_site_fract_z
Zn1 Zn 0.000 0.000 0.000
Co1 Co 0.250 0.250 0.750
Cu1 Cu 0.250 0.250 0.250
Mo1 Mo 0.000 0.000 0.500
```

Values from the calculation:
ΔH_f (0 K), eV/atom: 0.12
E_tot, eV per atom: -5.702



# 4
VASP calculation (PBE) on an optimized crystal structure of CeUN2.

The structure in CIF format:
```
data_CeUN2
_chemical_formula_sum 'Ce3 U3 N6'
_symmetry_space_group_name_H-M 'R 3 m'
_symmetry_Int_Tables_number 160
_symmetry_space_group_name_Hall 'R 3 -2"'
_cell_length_a 3.3734
_cell_length_b 3.3734
_cell_length_c 18.5224
_cell_angle_alpha 90.00
_cell_angle_beta 90.00
_cell_angle_gamma 120.00
loop_
_atom_site_label
_atom_site_type_symbol
_atom_site_fract_x
_atom_site_fract_y
_atom_site_fract_z
Ce1 Ce 0.0000 0.0000 0.0000
U1 U 0.0000 0.0000 0.1727
N1 N 0.0000 0.0000 0.4276
N2 N 0.0000 0.0000 0.5836
```

Values from the calculation:
Formation energy (no corrections), eV/atom: -1.174
E_tot, eV per atom: -9.642



# 5
VASP calculation (PBE) on an optimized crystal structure of AcAg2PdO4.

The structure in CIF format:
```
data_AcAg2PdO4
_chemical_formula_sum 'Ac2 Ag4 Pd2 O8'
_symmetry_space_group_name_H-M 'I -4 2 m'
_symmetry_Int_Tables_number 121
_symmetry_space_group_name_Hall 'I -4 2'
_cell_length_a 6.086
_cell_length_b 6.086
_cell_length_c 6.570
_cell_angle_alpha 90.00
_cell_angle_beta 90.00
_cell_angle_gamma 90.00
loop_
_atom_site_label
_atom_site_type_symbol
_atom_site_fract_x
_atom_site_fract_y
_atom_site_fract_z
Ac1 Ac 0.000 0.000 0.000
Ag1 Ag 0.000 0.500 0.250
Pd1 Pd 0.000 0.000 0.500
O1 O 0.204 0.204 0.286
```

Values from the calculation:
Formation energy (no corrections), eV/atom: -0.931
E_tot, eV per atom: -5.286



# 6
VASP calculation (PBE) on an optimized crystal structure of CaLa2Pd9.

The structure in CIF format:
```
data_CaLa2Pd9
_chemical_formula_sum 'Ca1 La2 Pd9'
_symmetry_space_group_name_H-M 'P 4/m m m'
_symmetry_Int_Tables_number 123
_symmetry_space_group_name_Hall '-P 4 2'
_cell_length_a 4.215
_cell_length_b 4.215
_cell_length_c 12.494
_cell_angle_alpha 90.00
_cell_angle_beta 90.00
_cell_angle_gamma 90.00
loop_
_atom_site_label
_atom_site_type_symbol
_atom_site_fract_x
_atom_site_fract_y
_atom_site_fract_z
Ca1 Ca 0.000 0.000 0.000
La1 La 0.000 0.000 0.329
Pd1 Pd 0.000 0.500 0.164
Pd2 Pd 0.000 0.500 0.500
Pd3 Pd 0.500 0.500 0.000
Pd4 Pd 0.500 0.500 0.333
```

Values from the calculation:
Offset from the most stable computed form, eV per atom: 0.000
ΔH_f (0 K), eV/atom: -0.70
E_tot, eV per atom: -5.581



# 7
VASP calculation (PBE) on an optimized crystal structure of Cs2SbCCl6.

The structure in CIF format:
```
data_Cs2SbCCl6
_chemical_formula_sum 'Cs4 Sb2 C2 Cl12'
_symmetry_space_group_name_H-M 'I 4/m m m'
_symmetry_Int_Tables_number 139
_symmetry_space_group_name_Hall '-I 4 2'
_cell_length_a 7.106
_cell_length_b 7.106
_cell_length_c 12.146
_cell_angle_alpha 90.00
_cell_angle_beta 90.00
_cell_angle_gamma 90.00
loop_
_atom_site_label
_atom_site_type_symbol
_atom_site_fract_x
_atom_site_fract_y
_atom_site_fract_z
Cs1 Cs 0.000 0.500 0.250
Sb1 Sb 0.000 0.000 0.000
C1 C 0.000 0.000 0.500
Cl1 Cl 0.000 0.000 0.217
Cl2 Cl 0.235 0.235 0.500
```

Values from the calculation:
Formation energy (no corrections), eV/atom: -0.650
E_tot, eV per atom: -3.263



# 8
VASP calculation (PBE) on an optimized crystal structure of Cs2SmU2Se6.

The structure in CIF format:
```
data_Cs2SmU2Se6
_chemical_formula_sum 'Cs4 Sm2 U4 Se12'
_symmetry_space_group_name_H-M 'C 1 2/m 1'
_symmetry_Int_Tables_number 12
_cell_length_a 7.322
_cell_length_b 12.712
_cell_length_c 8.926
_cell_angle_alpha 90.00
_cell_angle_beta 105.54
_cell_angle_gamma 90.00
loop_
_symmetry_equiv_pos_as_xyz
'x,y,z'
'-x,-y,-z'
'-x,y,-z'
'x,-y,z'
'x+1/2,y+1/2,z'
'-x+1/2,-y+1/2,-z'
'-x+1/2,y+1/2,-z'
'x+1/2,-y+1/2,z'
loop_
_atom_site_label
_atom_site_type_symbol
_atom_site_fract_x
_atom_site_fract_y
_atom_site_fract_z
Cs1 Cs 0.000 0.165 0.000
Sm1 Sm 0.000 0.000 0.500
U1 U 0.000 0.334 0.500
Se1 Se 0.220 0.500 0.684
Se2 Se 0.229 0.170 0.683
```

Values from the calculation:
Formation energy (no corrections), eV/atom: -1.425
E_tot, eV per atom: -5.963



# 9
VASP calculation (PBE) on an optimized crystal structure of Tl5Sn3Bi3.

The structure in CIF format:
```
data_Tl5Sn3Bi3
_chemical_formula_sum 'Tl5 Sn3 Bi3'
_symmetry_space_group_name_H-M 'P -6 2 m'
_symmetry_Int_Tables_number 189
_symmetry_space_group_name_Hall 'P -6 -2'
_cell_length_a 11.1968
_cell_length_b 11.1968
_cell_length_c 3.3923
_cell_angle_alpha 90.00
_cell_angle_beta 90.00
_cell_angle_gamma 120.00
loop_
_atom_site_label
_atom_site_type_symbol
_atom_site_fract_x
_atom_site_fract_y
_atom_site_fract_z
Tl1 Tl 0.0000 0.3336 0.0000
Tl2 Tl 0.3333 0.6667 0.0000
Sn1 Sn 0.0000 0.8333 0.0000
Bi1 Bi 0.0000 0.5900 0.5000
```

Values from the calculation:
ΔH_f (0 K), eV/atom: 0.12
E_tot, eV per atom: -3.101



# 10
VASP calculation (PBE) on an optimized crystal structure of Pr2SmIn9.

The structure in CIF format:
```
data_Pr2SmIn9
_chemical_formula_sum 'Pr2 Sm1 In9'
_symmetry_space_group_name_H-M 'P 4/m m m'
_symmetry_Int_Tables_number 123
_symmetry_space_group_name_Hall '-P 4 2'
_cell_length_a 4.720
_cell_length_b 4.720
_cell_length_c 14.166
_cell_angle_alpha 90.00
_cell_angle_beta 90.00
_cell_angle_gamma 90.00
loop_
_atom_site_label
_atom_site_type_symbol
_atom_site_fract_x
_atom_site_fract_y
_atom_site_fract_z
Pr1 Pr 0.000 0.000 0.168
Sm1 Sm 0.000 0.000 0.500
In1 In 0.000 0.500 0.000
In2 In 0.000 0.500 0.336
In3 In 0.500 0.500 0.167
In4 In 0.500 0.500 0.500
```

Values from the calculation:
ΔH_f (0 K), eV/atom: -0.47
E_tot, eV per atom: -3.713



# 11
VASP calculation (PBE) on an optimized crystal structure of Ho4Si2Sb.

The structure in CIF format:
```
data_Ho4Si2Sb
_chemical_formula_sum 'Ho16 Si8 Sb4'
_symmetry_space_group_name_H-M 'I 41/a m d'
_symmetry_Int_Tables_number 141
_cell_length_a 9.245
_cell_length_b 9.245
_cell_length_c 9.268
_cell_angle_alpha 90.00
_cell_angle_beta 90.00
_cell_angle_gamma 90.00
loop_
_symmetry_equiv_pos_as_xyz
'x,y,z'
'-x,-y,-z'
'-y+1/4,x+3/4,z+1/4'
'y+1/4,-x+3/4,-z+1/4'
'-x+1/2,-y,z+1/2'
'x+1/2,y,-z+1/2'
'y+1/4,-x+1/4,z+3/4'
'-y+1/4,x+1/4,-z+3/4'
'x,-y,-z'
'-x,y,z'
'-y+1/4,-x+1/4,-z+3/4'
'y+1/4,x+1/4,z+3/4'
'-x+1/2,y,-z+1/2'
'x+1/2,-y,z+1/2'
'y+1/4,x+3/4,-z+1/4'
'-y+1/4,-x+3/4,z+1/4'
'x+1/2,y+1/2,z+1/2'
'-x+1/2,-y+1/2,-z+1/2'
'-y+3/4,x+1/4,z+3/4'
'y+3/4,-x+1/4,-z+3/4'
'-x,-y+1/2,z'
'x,y+1/2,-z'
'y+3/4,-x+3/4,z+1/4'
'-y+3/4,x+3/4,-z+1/4'
'x+1/2,-y+1/2,-z+1/2'
'-x+1/2,y+1/2,z+1/2'
'-y+3/4,-x+3/4,-z+1/4'
'y+3/4,x+3/4,z+1/4'
'-x,y+1/2,-z'
'x,-y+1/2,z'
'y+3/4,x+1/4,-z+3/4'
'-y+3/4,-x+1/4,z+3/4'
loop_
_atom_site_label
_atom_site_type_symbol
_atom_site_fract_x
_atom_site_fract_y
_atom_site_fract_z
Ho1 Ho 0.000 0.069 0.209
Si1 Si 0.000 0.000 0.500
Sb1 Sb 0.000 0.250 0.875
```

Values from the calculation:
Formation energy (no corrections), eV/atom: -0.616
E_tot, eV per atom: -5.371



# 12
VASP calculation (PBE) on an optimized crystal structure of BaNa.

The structure in CIF format:
```
data_BaNa
_chemical_formula_sum 'Ba6 Na6'
_symmetry_space_group_name_H-M 'P 63/m m c'
_symmetry_Int_Tables_number 194
_symmetry_space_group_name_Hall '-P 6c 2c'
_cell_length_a 11.0529
_cell_length_b 11.0529
_cell_length_c 5.9854
_cell_angle_alpha 90.00
_cell_angle_beta 90.00
_cell_angle_gamma 120.00
loop_
_atom_site_label
_atom_site_type_symbol
_atom_site_fract_x
_atom_site_fract_y
_atom_site_fract_z
Ba1 Ba 0.1615 0.3231 0.2500
Na1 Na 0.1229 0.5614 0.7500
```

Values from the calculation:
Offset from the most stable computed form, eV per atom: 0.103
ΔH_f (0 K), eV/atom: 0.08
E_tot, eV per atom: -1.538